# 1
Material: SiAu3F
Method: DFT, PBE
State: relaxed

Computed properties:
Size of the total moment: 0.00 μB per formula unit
Symmetry: No. 221
Distance to the lowest polymorph of the same formula: 0 meV/atom
DOS(E_F): 2.7478 states/eV/atom
Calculated total energy: -16.258 eV/f.u.

POSCAR file:
```
SiAu3F
1.0
4.747 0.000 0.000
0.000 4.747 0.000
0.000 0.000 4.747
F Au Si
1 3 1
Direct
0.500 0.500 0.500 F
0.000 0.500 0.000 Au
0.500 0.000 0.000 Au
0.000 0.000 0.500 Au
0.000 0.000 0.000 Si
```



# 2
Material: ZnSb2Pb
Method: DFT, PBE
State: relaxed

Computed properties:
Size of the total moment: 0.00 μB per formula unit
Symmetry: No. 166
DOS(E_F): 0.5730 states/eV/atom
Calculated total energy: -12.665 eV/f.u.

POSCAR file:
```
ZnSb2Pb
1.0
-7.898 -5.163 4.053
-7.562 -6.868 1.054
-5.596 -7.740 3.773
Zn Sb Pb
1 2 1
Direct
0.250 0.250 0.250 Zn
0.514 0.514 0.514 Sb
0.986 0.986 0.986 Sb
0.750 0.750 0.750 Pb
```



# 3
Material: Sn2BF
Method: DFT, PBE
State: relaxed

Computed properties:
Size of the total moment: 0.00 μB per formula unit
Symmetry: No. 225
Distance to the lowest polymorph of the same formula: 101 meV/atom
DOS(E_F): 0.0530 states/eV/atom
Calculated total energy: -16.823 eV/f.u.

POSCAR file:
```
Sn2BF
1.0
0.000 3.184 3.184
3.184 0.000 3.184
3.184 3.184 0.000
F Sn B
1 2 1
Direct
0.500 0.500 0.500 F
0.750 0.750 0.750 Sn
0.250 0.250 0.250 Sn
0.000 0.000 0.000 B
```